(1)
VRh2 | the Alexandria database | PBE | optimized geometry; space group = No. 139; energy of formation = -6.9 kcal/mol of atoms
1.0
-1.1118 -0.4505 2.4684
-2.1037 -1.3043 -1.1856
4.3773 -3.9268 -0.2707
Rh V
2 1
Direct
0.6569 0.6569 0.3137
0.3431 0.3431 0.6863
0.0000 0.0000 0.0000

---

(2)
Pu2NiH4 | the Alexandria database | PBE | optimized geometry; space group = No. 11; polymorph energy (0 for the lowest one) = 0.037 eV/atom
1.0
4.5796 0.0000 -1.3352
0.0000 4.9490 0.0000
-4.2375 0.0000 8.3000
H Ni Pu
8 2 4
Direct
0.7292 0.2500 0.0110
0.9271 0.2500 0.6393
0.2708 0.7500 0.9890
0.5578 0.5024 0.7207
0.4422 0.4976 0.2793
0.0729 0.7500 0.3607
0.4422 0.0024 0.2793
0.5578 0.9976 0.7207
0.6232 0.7500 0.2486
0.3768 0.2500 0.7514
0.1953 0.2500 0.9838
0.8047 0.7500 0.0162
0.1572 0.2500 0.3897
0.8428 0.7500 0.6103